one.
This record from Alexandria via LeMat-Bulk describes crystalline GeAsPO2 at its relaxed geometry. The functional is PBE.

The space group is P4/mmm (No. 123) and the conventional cell measures 3.723, 3.723 and 4.939 Å, with angles of 90.00, 90.00 and 90.00 degrees. The inequivalent atoms are Ge at (0.000, 0.000, 0.000), As at (0.500, 0.500, 0.500), P at (0.000, 0.000, 0.500) and O at (0.000, 0.500, 0.000).


two.
This record from Alexandria via LeMat-Bulk describes crystalline GeAsPO2 at its relaxed geometry. The functional is PBE.

The space group is P4/mmm (No. 123) and the conventional cell measures 3.766, 3.766 and 4.924 Å, with angles of 90.00, 90.00 and 90.00 degrees. The inequivalent atoms are Ge at (0.000, 0.000, 0.000), As at (0.500, 0.500, 0.500), P at (0.500, 0.500, 0.000) and O at (0.000, 0.500, 0.500).


Energies in eV/atom, measured from the most stable structure: one 0.000; two 0.027.


one.
This record from Alexandria via LeMat-Bulk describes crystalline Ge2AsPdO at its relaxed geometry. The functional is PBE.

The space group is P4/mmm (No. 123) and the conventional cell measures 5.013, 5.013 and 3.648 Å, with angles of 90.00, 90.00 and 90.00 degrees. The inequivalent atoms are Ge at (0.000, 0.500, 0.000), As at (0.000, 0.000, 0.000), Pd at (0.500, 0.500, 0.500) and O at (0.000, 0.000, 0.500).


two.
This record from Alexandria via LeMat-Bulk describes crystalline Ge2AsPdO at its relaxed geometry. The functional is PBE.

The space group is P4/mmm (No. 123) and the conventional cell measures 4.486, 4.486 and 4.231 Å, with angles of 90.00, 90.00 and 90.00 degrees. The inequivalent atoms are Ge at (0.000, 0.500, 0.000), As at (0.000, 0.000, 0.500), Pd at (0.500, 0.500, 0.500) and O at (0.500, 0.500, 0.000).


Energies in eV/atom, measured from the most stable structure: one 0.256; two 0.000.


one.
This record from Alexandria via LeMat-Bulk describes crystalline GeAsSe2O at its relaxed geometry. The functional is PBE.

The space group is P4/mmm (No. 123) and the conventional cell measures 4.867, 4.867 and 5.055 Å, with angles of 90.00, 90.00 and 90.00 degrees. The inequivalent atoms are Ge at (0.000, 0.000, 0.000), As at (0.000, 0.000, 0.500), Se at (0.000, 0.500, 0.000) and O at (0.500, 0.500, 0.500).


two.
This record from Alexandria via LeMat-Bulk describes crystalline GeAsSe2O at its relaxed geometry. The functional is PBE.

The space group is P4/mmm (No. 123) and the conventional cell measures 4.533, 4.533 and 4.467 Å, with angles of 90.00, 90.00 and 90.00 degrees. The inequivalent atoms are Ge at (0.000, 0.000, 0.000), As at (0.500, 0.500, 0.000), Se at (0.000, 0.500, 0.500) and O at (0.500, 0.500, 0.500).


Energies in eV/atom, measured from the most stable structure: one 0.771; two 0.000.


one.
This record from Alexandria via LeMat-Bulk describes crystalline Ge3AsOs at its relaxed geometry. The functional is PBE.

The space group is Pm-3m (No. 221) and the conventional cell measures 4.809, 4.809 and 4.809 Å, with angles of 90.00, 90.00 and 90.00 degrees. The inequivalent atoms are Ge at (0.000, 0.000, 0.500), As at (0.000, 0.000, 0.000) and Os at (0.500, 0.500, 0.500).


two.
This record from Alexandria via LeMat-Bulk describes crystalline Ge3AsOs at its relaxed geometry. The functional is PBE.

The space group is Pm-3m (No. 221) and the conventional cell measures 4.796, 4.796 and 4.796 Å, with angles of 90.00, 90.00 and 90.00 degrees. The inequivalent atoms are Ge at (0.000, 0.000, 0.500), As at (0.500, 0.500, 0.500) and Os at (0.000, 0.000, 0.000).


Energies in eV/atom, measured from the most stable structure: one 1.150; two 0.000.